Material: HoInNiIr
Method: DFT, PBE
State: relaxed

Its formation energy is -0.453 eV/atom. As for the crystal system: cubic. The magnetization comes out at 0.0 μB/f.u. As for the space group: No. 216.

Unit cell a=6.6009 b=6.6009 c=6.6009 alpha=90.00 beta=90.00 gamma=90.00
Last column: nearest neighbours and their distance in Å.
Atoms (fractional coordinates):
1 Ho 0.0000 0.0000 0.0000  4 Ni 2.86, 4 Ir 2.86
2 Ho 0.0000 0.5000 0.5000  4 Ni 2.86, 4 Ir 2.86
3 Ho 0.5000 0.0000 0.5000  4 Ni 2.86, 4 Ir 2.86
4 Ho 0.5000 0.5000 0.0000  4 Ni 2.86, 4 Ir 2.86
5 In 0.0000 0.0000 0.5000  4 Ir 2.86, 4 Ni 2.86
6 In 0.0000 0.5000 0.0000  4 Ir 2.86, 4 Ni 2.86
7 In 0.5000 0.0000 0.0000  4 Ir 2.86, 4 Ni 2.86
8 In 0.5000 0.5000 0.5000  4 Ir 2.86, 4 Ni 2.86
9 Ni 0.2500 0.2500 0.2500  4 In 2.86, 4 Ho 2.86
10 Ni 0.2500 0.7500 0.7500  4 In 2.86, 4 Ho 2.86
11 Ni 0.7500 0.2500 0.7500  4 In 2.86, 4 Ho 2.86
12 Ni 0.7500 0.7500 0.2500  4 In 2.86, 4 Ho 2.86
13 Ir 0.2500 0.2500 0.7500  4 In 2.86, 4 Ho 2.86
14 Ir 0.2500 0.7500 0.2500  4 In 2.86, 4 Ho 2.86
15 Ir 0.7500 0.2500 0.2500  4 In 2.86, 4 Ho 2.86
16 Ir 0.7500 0.7500 0.7500  4 Ho 2.86, 4 In 2.86


Material: BeZn2Si
Method: DFT, PBE
State: relaxed

As for the crystal system: orthorhombic. The calculation puts the energy relative to the elements, uncorrected at 0.246 eV/atom. The magnetization comes out at 0.0 μB/f.u. As for the space group: No. 71.

Unit cell a=2.6320 b=3.7140 c=11.6481 alpha=90.00 beta=90.00 gamma=90.00
Last column: nearest neighbours and their distance in Å.
Atoms (fractional coordinates):
1 Be 0.0000 0.0000 0.0000  4 Si 2.28, 4 Zn 2.53
2 Be 0.5000 0.5000 0.5000  4 Si 2.28, 4 Zn 2.53
3 Zn 0.0000 0.5000 0.3150  2 Be 2.53, 6 Zn 2.63-2.73
4 Zn 0.0000 0.5000 0.6850  2 Be 2.53, 6 Zn 2.63-2.73
5 Zn 0.5000 0.0000 0.1850  2 Be 2.53, 6 Zn 2.63-2.73
6 Zn 0.5000 0.0000 0.8150  2 Be 2.53, 6 Zn 2.63-2.73
7 Si 0.0000 0.0000 0.5000  4 Be 2.28
8 Si 0.5000 0.5000 0.0000  4 Be 2.28


Material: CaVRe2Sb
Method: DFT, PBE
State: relaxed

As for the crystal system: tetragonal. The calculation puts the energy relative to the elements, uncorrected at 2.141 eV/atom. The magnetization comes out at 1.3 μB/f.u. As for the space group: No. 123.

Unit cell a=4.8851 b=4.8851 c=5.2985 alpha=90.00 beta=90.00 gamma=90.00
Last column: nearest neighbours and their distance in Å.
Atoms (fractional coordinates):
1 Ca 0.0000 0.0000 0.0000  2 Sb 2.65
2 V 0.5000 0.5000 0.0000  4 Ca 3.45, 8 Re 3.60
3 Re 0.0000 0.5000 0.5000  2 Sb 2.44
4 Re 0.5000 0.0000 0.5000  2 Sb 2.44
5 Sb 0.0000 0.0000 0.5000  4 Re 2.44, 2 Ca 2.65


Material: Mn3Pb2
Method: DFT, PBE
State: relaxed

Its formation energy is 0.583 eV/atom. As for the crystal system: trigonal. The magnetization comes out at 11.4 μB/f.u. As for the space group: No. 166.

Unit cell a=3.2272 b=3.2272 c=34.4992 alpha=90.00 beta=90.00 gamma=120.00
Last column: nearest neighbours and their distance in Å.
Atoms (fractional coordinates):
1 Mn 0.0000 0.0000 0.0000  6 Pb 3.00, 6 Mn 3.23
2 Mn 0.0000 0.0000 0.1956  3 Mn 2.73, 3 Pb 3.04
3 Mn 0.0000 0.0000 0.8044  3 Mn 2.73, 3 Pb 3.04
4 Mn 0.3333 0.6667 0.4711  3 Mn 2.73, 3 Pb 3.04
5 Mn 0.3333 0.6667 0.6667  6 Pb 3.00, 6 Mn 3.23
6 Mn 0.3333 0.6667 0.8622  3 Mn 2.73, 3 Pb 3.04
7 Mn 0.6667 0.3333 0.1378  3 Mn 2.73, 3 Pb 3.04
8 Mn 0.6667 0.3333 0.3333  6 Pb 3.00, 6 Mn 3.23
9 Mn 0.6667 0.3333 0.5289  3 Mn 2.73, 3 Pb 3.04
10 Pb 0.0000 0.0000 0.4016  6 Mn 3.00-3.04, 6 Pb 3.23
11 Pb 0.0000 0.0000 0.5984  6 Mn 3.00-3.04, 6 Pb 3.23
12 Pb 0.3333 0.6667 0.0682  6 Mn 3.00-3.04, 6 Pb 3.23
13 Pb 0.3333 0.6667 0.2651  6 Mn 3.00-3.04, 6 Pb 3.23
14 Pb 0.6667 0.3333 0.7349  6 Mn 3.00-3.04, 6 Pb 3.23
15 Pb 0.6667 0.3333 0.9318  6 Mn 3.00-3.04, 6 Pb 3.23


Material: TcIrO2
Method: DFT, PBE
State: relaxed

As for the crystal system: trigonal. The calculation puts the energy relative to the elements, uncorrected at -0.746 eV/atom. The magnetization comes out at 0.0 μB/f.u. As for the space group: No. 166.

Unit cell a=2.7384 b=2.7384 c=20.1903 alpha=90.00 beta=90.00 gamma=120.00
Last column: nearest neighbours and their distance in Å.
Atoms (fractional coordinates):
1 Tc 0.0000 0.0000 0.0000  6 O 2.09
2 Tc 0.3333 0.6667 0.6667  6 O 2.09
3 Tc 0.6667 0.3333 0.3333  6 O 2.09
4 Ir 0.0000 0.0000 0.5000  2 O 2.00
5 Ir 0.3333 0.6667 0.1667  2 O 2.00
6 Ir 0.6667 0.3333 0.8333  2 O 2.00
7 O 0.0000 0.0000 0.4008  1 Ir 2.00, 3 Tc 2.09
8 O 0.0000 0.0000 0.5992  1 Ir 2.00, 3 Tc 2.09
9 O 0.3333 0.6667 0.0675  1 Ir 2.00, 3 Tc 2.09
10 O 0.3333 0.6667 0.2659  1 Ir 2.00, 3 Tc 2.09
11 O 0.6667 0.3333 0.7341  1 Ir 2.00, 3 Tc 2.09
12 O 0.6667 0.3333 0.9325  1 Ir 2.00, 3 Tc 2.09


Material: YSnPd2
Method: DFT, PBE
State: relaxed

Its formation energy is -0.696 eV/atom. As for the crystal system: tetragonal. The magnetization comes out at 0.0 μB/f.u. As for the space group: No. 123.

Unit cell a=3.5771 b=3.5771 c=6.3878 alpha=90.00 beta=90.00 gamma=90.00
Last column: nearest neighbours and their distance in Å.
Atoms (fractional coordinates):
1 Y 0.0000 0.0000 0.0000  8 Pd 3.01, 2 Sn 3.19
2 Sn 0.0000 0.0000 0.5000  8 Pd 2.97, 2 Y 3.19
3 Pd 0.5000 0.5000 0.2551  4 Sn 2.97, 4 Y 3.01, 2 Pd 3.13-3.26
4 Pd 0.5000 0.5000 0.7449  4 Sn 2.97, 4 Y 3.01, 2 Pd 3.13-3.26


Material: TbAl3CuPd
Method: DFT, PBE
State: relaxed

Its formation energy is -0.417 eV/atom. As for the crystal system: orthorhombic. The magnetization comes out at 0.0 μB/f.u. As for the space group: No. 63.

Unit cell a=6.9002 b=6.9002 c=5.7480 alpha=90.00 beta=90.00 gamma=127.09
Last column: nearest neighbours and their distance in Å.
Atoms (fractional coordinates):
1 Tb 0.2141 0.7859 0.7500  1 Cu 2.67
2 Tb 0.7859 0.2141 0.2500  1 Cu 2.67
3 Al 0.2121 0.2121 0.0000  2 Cu 2.44, 1 Al 2.61, 2 Pd 2.65
4 Al 0.2121 0.2121 0.5000  2 Cu 2.44, 1 Al 2.61, 2 Pd 2.65
5 Al 0.3571 0.6429 0.2500  1 Pd 2.61, 1 Cu 2.63, 4 Al 2.88
6 Al 0.6429 0.3571 0.7500  1 Pd 2.61, 1 Cu 2.63, 4 Al 2.88
7 Al 0.7879 0.7879 0.0000  2 Cu 2.44, 1 Al 2.61, 2 Pd 2.65
8 Al 0.7879 0.7879 0.5000  2 Cu 2.44, 1 Al 2.61, 2 Pd 2.65
9 Cu 0.4302 0.5698 0.7500  5 Al 2.44-2.63, 1 Tb 2.67
10 Cu 0.5698 0.4302 0.2500  5 Al 2.44-2.63, 1 Tb 2.67
11 Pd 0.1461 0.8539 0.2500  5 Al 2.61-2.65
12 Pd 0.8539 0.1461 0.7500  5 Al 2.61-2.65


Material: Ba2Ir2Au
Method: DFT, PBE
State: relaxed

Its formation energy is -0.020 eV/atom. As for the crystal system: tetragonal. The magnetization comes out at 0.0 μB/f.u. As for the space group: No. 127.

Unit cell a=7.2375 b=7.2375 c=4.9553 alpha=90.00 beta=90.00 gamma=90.00
Last column: nearest neighbours and their distance in Å.
Atoms (fractional coordinates):
1 Ba 0.1818 0.3182 0.0000  6 Ir 3.19-3.34
2 Ba 0.3182 0.8182 0.0000  6 Ir 3.19-3.34
3 Ba 0.6818 0.1818 0.0000  6 Ir 3.19-3.34
4 Ba 0.8182 0.6818 0.0000  6 Ir 3.19-3.34
5 Ir 0.1214 0.6214 0.5000  1 Ir 2.48
6 Ir 0.3786 0.1214 0.5000  1 Ir 2.48
7 Ir 0.6214 0.8786 0.5000  1 Ir 2.48
8 Ir 0.8786 0.3786 0.5000  1 Ir 2.48
9 Au 0.0000 0.0000 0.5000  4 Ir 2.88
10 Au 0.5000 0.5000 0.5000  4 Ir 2.88


Material: Tm6Al5Cd
Method: DFT, PBE
State: relaxed

Its formation energy is -0.376 eV/atom. As for the crystal system: orthorhombic. The magnetization comes out at 0.0 μB/f.u. As for the space group: No. 65.

Unit cell a=8.0331 b=8.0331 c=7.0968 alpha=90.00 beta=90.00 gamma=143.15
Last column: nearest neighbours and their distance in Å.
Atoms (fractional coordinates):
1 Tm 0.0000 0.0000 0.2455  6 Al 3.07-3.09, 2 Cd 3.12
2 Tm 0.0000 0.0000 0.7545  6 Al 3.07-3.09, 2 Cd 3.12
3 Tm 0.3313 0.6687 0.2483  7 Al 3.08-3.12, 1 Cd 3.13
4 Tm 0.3313 0.6687 0.7517  7 Al 3.08-3.12, 1 Cd 3.13
5 Tm 0.6687 0.3313 0.2483  7 Al 3.08-3.12, 1 Cd 3.13
6 Tm 0.6687 0.3313 0.7517  7 Al 3.08-3.12, 1 Cd 3.13
7 Al 0.1643 0.8357 0.5000  8 Tm 3.09-3.11
8 Al 0.1659 0.8341 0.0000  8 Tm 3.07-3.09
9 Al 0.5000 0.5000 0.0000  8 Tm 3.08-3.12
10 Al 0.8341 0.1659 0.0000  8 Tm 3.07-3.09
11 Al 0.8357 0.1643 0.5000  8 Tm 3.09-3.11
12 Cd 0.5000 0.5000 0.5000  8 Tm 3.12-3.13


Material: TbNd3Er2S6
Method: DFT, PBE
State: relaxed

As for the crystal system: monoclinic. The calculation puts the energy relative to the elements, uncorrected at -2.008 eV/atom. The magnetization comes out at 0.0 μB/f.u. As for the space group: No. 12.

Unit cell a=6.8421 b=6.8421 c=6.9825 alpha=99.39 beta=99.39 gamma=120.16
Last column: nearest neighbours and their distance in Å.
Atoms (fractional coordinates):
1 Tb 0.0000 0.0000 0.0000  6 S 2.76-2.77
2 Nd 0.1650 0.8350 0.5000  6 S 2.88-2.89
3 Nd 0.5000 0.5000 0.5000  6 S 2.86-2.89
4 Nd 0.8350 0.1650 0.5000  6 S 2.88-2.89
5 Er 0.3335 0.6665 0.0000  6 S 2.73-2.74
6 Er 0.6665 0.3335 0.0000  6 S 2.73-2.74
7 S 0.0775 0.4145 0.2327  2 Er 2.74, 1 Tb 2.77, 3 Nd 2.88-2.89
8 S 0.2601 0.2601 0.7686  2 Er 2.73, 1 Tb 2.76, 3 Nd 2.86-2.88
9 S 0.4145 0.0775 0.2327  2 Er 2.74, 1 Tb 2.77, 3 Nd 2.88-2.89
10 S 0.5855 0.9225 0.7673  2 Er 2.74, 1 Tb 2.77, 3 Nd 2.88-2.89
11 S 0.7399 0.7399 0.2314  2 Er 2.73, 1 Tb 2.76, 3 Nd 2.86-2.88
12 S 0.9225 0.5855 0.7673  2 Er 2.74, 1 Tb 2.77, 3 Nd 2.88-2.89


Material: K2SiSbS4
Method: DFT, PBE
State: relaxed

As for the crystal system: tetragonal. The calculation puts the energy relative to the elements, uncorrected at -0.759 eV/atom. The magnetization comes out at 1.0 μB/f.u. As for the space group: No. 82.

Unit cell a=7.6251 b=7.6251 c=7.7509 alpha=90.00 beta=90.00 gamma=90.00
Last column: nearest neighbours and their distance in Å.
Atoms (fractional coordinates):
1 K 0.0000 0.0000 0.0000  4 S 3.11
2 K 0.0000 0.5000 0.2500  4 S 3.21
3 K 0.5000 0.0000 0.7500  4 S 3.21
4 K 0.5000 0.5000 0.5000  4 S 3.11
5 Si 0.0000 0.5000 0.7500  4 S 2.15
6 Si 0.5000 0.0000 0.2500  4 S 2.15
7 Sb 0.0000 0.0000 0.5000  4 S 2.78
8 Sb 0.5000 0.5000 0.0000  4 S 2.78
9 S 0.1477 0.3188 0.5942  1 Si 2.15
10 S 0.1812 0.6477 0.9058  1 Si 2.15
11 S 0.3188 0.8523 0.4058  1 Si 2.15
12 S 0.3523 0.1812 0.0942  1 Si 2.15
13 S 0.6477 0.8188 0.0942  1 Si 2.15
14 S 0.6812 0.1477 0.4058  1 Si 2.15
15 S 0.8188 0.3523 0.9058  1 Si 2.15
16 S 0.8523 0.6812 0.5942  1 Si 2.15


Material: AcPmY3
Method: DFT, PBE
State: relaxed

Its formation energy is 0.242 eV/atom. As for the crystal system: orthorhombic. The magnetization comes out at 0.0 μB/f.u. As for the space group: No. 40.

Unit cell a=10.1866 b=6.1045 c=6.1045 alpha=106.14 beta=90.00 gamma=90.00
Last column: nearest neighbours and their distance in Å.
Atoms (fractional coordinates):
1 Ac 0.2500 0.0771 0.9229  8 Y 3.44-3.83, 2 Pm 3.54
2 Ac 0.7500 0.9229 0.0771  8 Y 3.44-3.83, 2 Pm 3.54
3 Pm 0.0000 0.6799 0.6799  6 Y 3.44-3.58, 2 Ac 3.54
4 Pm 0.5000 0.6799 0.6799  6 Y 3.44-3.58, 2 Ac 3.54
5 Y 0.0633 0.1063 0.4255  3 Y 3.37-3.46, 2 Pm 3.44-3.47, 2 Ac 3.57-3.63
6 Y 0.2500 0.6331 0.2574  4 Y 3.37-3.46, 1 Ac 3.44, 2 Pm 3.58
7 Y 0.4367 0.1063 0.4255  3 Y 3.37-3.46, 2 Pm 3.44-3.47, 2 Ac 3.57-3.63
8 Y 0.5633 0.4255 0.1063  3 Y 3.37-3.46, 2 Pm 3.44-3.47, 2 Ac 3.57-3.63
9 Y 0.7500 0.2574 0.6331  4 Y 3.37-3.46, 1 Ac 3.44, 2 Pm 3.58
10 Y 0.9367 0.4255 0.1063  3 Y 3.37-3.46, 2 Pm 3.44-3.47, 2 Ac 3.57-3.63


| no. | energy (eV/atom) |
| --- | --- |
| 1 | -5.943 |
| 2 | -2.678 |
| 3 | -5.887 |
| 4 | -6.402 |
| 5 | -8.032 |
| 6 | -5.909 |
| 7 | -4.608 |
| 8 | -4.989 |
| 9 | -4.248 |
| 10 | -6.410 |
| 11 | -4.290 |
| 12 | -5.408 |